# CrRuPt2

A relaxed structure of CrRuPt2 (PBE-GGA, Alexandria via LeMat-Bulk).

Unit cell a=3.866 b=3.866 c=7.726 alpha=90.00 beta=90.00 gamma=90.00
Space group I-4m2 (No. 119)
Unique sites:
1 Cr 0.000 0.000 0.000
2 Ru 0.000 0.500 0.250
3 Pt 0.000 0.000 0.500
4 Pt 0.000 0.500 0.750

Summary:
Final energy   -62.8 eV per cell